The following is a DFT calculation (PBE) of Ca2TlSi after structural relaxation.

```
data_Ca2TlSi
_chemical_formula_sum 'Ca8 Tl4 Si4'
_cell_length_a 5.0437
_cell_length_b 5.0437
_cell_length_c 20.0197
_cell_angle_alpha 90.00
_cell_angle_beta 90.00
_cell_angle_gamma 90.00
_space_group_name_H-M_alt 'I -4 2 d'
_space_group_IT_number 122
_space_group_name_Hall 'I -4 2bw'
loop_
_atom_site_label
_atom_site_type_symbol
_atom_site_fract_x
_atom_site_fract_y
_atom_site_fract_z
Ca1 Ca 0.2285 0.2500 0.1250
Tl1 Tl 0.0000 0.0000 0.5000
Si1 Si 0.0000 0.0000 0.0000
```

Results
Magnetic moment (μB per formula unit): 0.0
DOS at the Fermi energy (states/eV per cell): 12.481
Uncorrected energy (eV per cell): -44.855